[1]
! Sm3YTm2As6 | Alexandria | GGA-PBE | relaxed; values from VASP
! ΔH_f (0 K) = -1.521 eV per atom
! calculated density = 7270 kg/m3
! space-group type = No. 12
&SYSTEM
  ibrav = 0, nat = 12, ntyp = 4
/
ATOMIC_SPECIES
Sm 150.36 Sm.upf
Y 88.91 Y.upf
Tm 168.93 Tm.upf
As 74.92 As.upf
CELL_PARAMETERS angstrom
7.190 0.000 0.001
-3.593 6.227 0.001
-1.199 -2.075 6.771
ATOMIC_POSITIONS crystal
Sm 0.166 0.834 0.500
Sm 0.834 0.166 0.500
Sm 0.500 0.500 0.500
Y 0.000 0.000 0.000
Tm 0.333 0.667 0.000
Tm 0.667 0.333 0.000
As 0.919 0.584 0.758
As 0.745 0.745 0.242
As 0.081 0.416 0.242
As 0.584 0.919 0.758
As 0.255 0.255 0.758
As 0.416 0.081 0.242


[2]
! Np2ZnGe3Pt4 | Alexandria | GGA-PBE | relaxed; values from VASP
! ΔH_f (0 K) = -0.528 eV per atom
! calculated density = 13619 kg/m3
! space-group type = No. 115
&SYSTEM
  ibrav = 0, nat = 10, ntyp = 4
/
ATOMIC_SPECIES
Np 237.00 Np.upf
Zn 65.41 Zn.upf
Ge 72.64 Ge.upf
Pt 195.08 Pt.upf
CELL_PARAMETERS angstrom
-3.506 1.688 1.434
-2.209 -2.863 -2.031
0.429 -6.520 8.723
ATOMIC_POSITIONS crystal
Np 0.500 0.000 0.252
Np 0.000 0.500 0.748
Zn 0.500 0.500 0.500
Ge 0.000 0.000 0.500
Ge 0.500 0.000 0.865
Ge 0.000 0.500 0.135
Pt 0.500 0.500 0.000
Pt 0.000 0.000 0.000
Pt 0.500 0.000 0.641
Pt 0.000 0.500 0.359


[3]
! FeSiSe2Br | Alexandria | GGA-PBE | relaxed; values from VASP
! calculated density = 4879 kg/m3
! space-group type = No. 123
! formation energy (no corrections) = 82.14 kJ/mol of atoms
! energy relative to the lowest polymorph listed for this composition = 387 meV/atom
&SYSTEM
  ibrav = 0, nat = 5, ntyp = 4
/
ATOMIC_SPECIES
Si 28.09 Si.upf
Se 78.96 Se.upf
Br 79.90 Br.upf
Fe 55.84 Fe.upf
CELL_PARAMETERS angstrom
4.840 0.000 0.000
0.000 4.674 0.000
0.000 0.000 4.840
ATOMIC_POSITIONS crystal
Si 0.000 0.000 0.000
Se 0.000 0.000 0.500
Se 0.500 0.000 0.000
Br 0.500 0.500 0.500
Fe 0.000 0.500 0.000


Copy entry 2 word for word.
! Np2ZnGe3Pt4 | Alexandria | GGA-PBE | relaxed; values from VASP
! ΔH_f (0 K) = -0.528 eV per atom
! calculated density = 13619 kg/m3
! space-group type = No. 115
&SYSTEM
  ibrav = 0, nat = 10, ntyp = 4
/
ATOMIC_SPECIES
Np 237.00 Np.upf
Zn 65.41 Zn.upf
Ge 72.64 Ge.upf
Pt 195.08 Pt.upf
CELL_PARAMETERS angstrom
-3.506 1.688 1.434
-2.209 -2.863 -2.031
0.429 -6.520 8.723
ATOMIC_POSITIONS crystal
Np 0.500 0.000 0.252
Np 0.000 0.500 0.748
Zn 0.500 0.500 0.500
Ge 0.000 0.000 0.500
Ge 0.500 0.000 0.865
Ge 0.000 0.500 0.135
Pt 0.500 0.500 0.000
Pt 0.000 0.000 0.000
Pt 0.500 0.000 0.641
Pt 0.000 0.500 0.359